No. 1
# CsCeCl5 PBE-GGA optimized geometry
# VASP energy (eV/atom): -4.28
# E_form (uncorrected) (eV/atom): -1.993
data_CsCeCl5
_cell_length_a 12.764
_cell_length_b 8.914
_cell_length_c 10.942
_cell_angle_alpha 90.00
_cell_angle_beta 113.64
_cell_angle_gamma 90.00
_symmetry_space_group_name_H-M 'C 1 2/c 1'
_symmetry_Int_Tables_number 15
loop_
_symmetry_equiv_pos_as_xyz
'x,y,z'
'-x,-y,-z'
'-x,y,-z+1/2'
'x,-y,z+1/2'
'x+1/2,y+1/2,z'
'-x+1/2,-y+1/2,-z'
'-x+1/2,y+1/2,-z+1/2'
'x+1/2,-y+1/2,z+1/2'
loop_
_atom_site_label
_atom_site_type_symbol
_atom_site_fract_x
_atom_site_fract_y
_atom_site_fract_z
_atom_site_occupancy
Cs1 Cs 0.000 0.030 0.250 1
Ce1 Ce 0.000 0.500 0.000 1
Cl1 Cl 0.000 0.450 0.250 1
Cl2 Cl 0.085 0.231 0.014 1
Cl3 Cl 0.201 0.386 0.610 1

***

No. 2
# La2AsN2 PBE-GGA optimized geometry
# VASP energy (eV/atom): -6.93
# DOS(E_F) (states/eV/atom): 0.363
# Energy above the most stable polymorph in this dataset (meV per atom): 84
# E_form (uncorrected) (eV/atom): -0.702
data_La2AsN2
_cell_length_a 7.121
_cell_length_b 7.121
_cell_length_c 3.560
_cell_angle_alpha 90.00
_cell_angle_beta 90.00
_cell_angle_gamma 90.00
_symmetry_space_group_name_H-M 'P 4/m b m'
_symmetry_Int_Tables_number 127
_symmetry_space_group_name_Hall '-P 4 2ab'
loop_
_atom_site_label
_atom_site_type_symbol
_atom_site_fract_x
_atom_site_fract_y
_atom_site_fract_z
_atom_site_occupancy
La1 La 0.166 0.334 0.000 1
As1 As 0.000 0.000 0.500 1
N1 N 0.167 0.667 0.500 1

***

No. 3
# AcCeAu2 PBE-GGA optimized geometry
# Calculated formation energy (kJ/mol of atoms): -57.2
# VASP energy (eV/atom): -4.74
# DOS(E_F) (states/eV/atom): 2.396
# Energy above the most stable polymorph in this dataset (meV per atom): 118
data_AcCeAu2
_cell_length_a 4.3281
_cell_length_b 4.3281
_cell_length_c 23.0487
_cell_angle_alpha 90.00
_cell_angle_beta 90.00
_cell_angle_gamma 120.00
_symmetry_space_group_name_H-M 'R 3 m'
_symmetry_Int_Tables_number 160
_symmetry_space_group_name_Hall 'R 3 -2"'
loop_
_atom_site_label
_atom_site_type_symbol
_atom_site_fract_x
_atom_site_fract_y
_atom_site_fract_z
_atom_site_occupancy
Ac1 Ac 0.0000 0.0000 0.0000 1
Ce1 Ce 0.0000 0.0000 0.1712 1
Au1 Au 0.0000 0.0000 0.5803 1
Au2 Au 0.0000 0.0000 0.7581 1

***

No. 4
# Nb6SnN PBE-GGA optimized geometry
# VASP energy (eV/atom): -9.01
# DOS(E_F) (states/eV/atom): 0.626
# E_form (uncorrected) (eV/atom): 0.087
data_Nb6SnN
_cell_length_a 5.789
_cell_length_b 5.826
_cell_length_c 5.994
_cell_angle_alpha 90.65
_cell_angle_beta 118.48
_cell_angle_gamma 119.73
_symmetry_space_group_name_H-M 'P -1'
_symmetry_Int_Tables_number 2
loop_
_symmetry_equiv_pos_as_xyz
'x,y,z'
'-x,-y,-z'
loop_
_atom_site_label
_atom_site_type_symbol
_atom_site_fract_x
_atom_site_fract_y
_atom_site_fract_z
_atom_site_occupancy
Nb1 Nb 0.081 0.070 0.271 1
Nb2 Nb 0.264 0.690 0.273 1
Nb3 Nb 0.293 0.487 0.727 1
Sn1 Sn 0.500 0.000 0.000 1
N1 N 0.500 0.500 0.500 1

***

No. 5
# HgIrN2F PBE-GGA optimized geometry
# VASP energy (eV/atom): -3.25
# DOS(E_F) (states/eV/atom): 1.337
# Energy above the most stable polymorph in this dataset (meV per atom): 1805
# E_form (uncorrected) (eV/atom): 2.285
data_HgIrN2F
_cell_length_a 4.190
_cell_length_b 4.190
_cell_length_c 4.269
_cell_angle_alpha 90.00
_cell_angle_beta 90.00
_cell_angle_gamma 90.00
_symmetry_space_group_name_H-M 'P 4/m m m'
_symmetry_Int_Tables_number 123
_symmetry_space_group_name_Hall '-P 4 2'
loop_
_atom_site_label
_atom_site_type_symbol
_atom_site_fract_x
_atom_site_fract_y
_atom_site_fract_z
_atom_site_occupancy
Hg1 Hg 0.000 0.000 0.000 1
Ir1 Ir 0.500 0.500 0.500 1
N1 N 0.000 0.500 0.000 1
F1 F 0.000 0.000 0.500 1

***

No. 6
# PtPb2O5 PBE-GGA optimized geometry
# VASP energy (eV/atom): -5.51
# DOS(E_F) (states/eV/atom): 0.248
# E_form (uncorrected) (eV/atom): -0.724
data_PtPb2O5
_cell_length_a 4.347
_cell_length_b 5.758
_cell_length_c 6.052
_cell_angle_alpha 69.03
_cell_angle_beta 71.59
_cell_angle_gamma 68.00
_symmetry_space_group_name_H-M 'P 1'
_symmetry_Int_Tables_number 1
loop_
_symmetry_equiv_pos_as_xyz
'x,y,z'
loop_
_atom_site_label
_atom_site_type_symbol
_atom_site_fract_x
_atom_site_fract_y
_atom_site_fract_z
_atom_site_occupancy
Pt1 Pt 0.000 0.000 0.000 1
Pb1 Pb 0.217 0.334 0.259 1
Pb2 Pb 0.787 0.666 0.723 1
O1 O 0.004 0.733 0.320 1
O2 O 0.006 0.263 0.669 1
O3 O 0.209 0.692 0.866 1
O4 O 0.476 0.018 0.036 1
O5 O 0.786 0.306 0.139 1